SCAN CaPPdS2, PBEsol geometry; space-group type = P4/mmm; ΔE_f (raw) = -0.424 eV per atom
1.0
4.912 0.000 0.000
0.000 4.912 0.000
0.000 0.000 4.352
Ca P Pd S
1 1 1 2
direct
0.000 0.000 0.000
0.500 0.500 0.000
0.500 0.500 0.500
0.000 0.500 0.500
0.500 0.000 0.500